DFT (GGA-PBE) results for crystalline Y2Ag2GeO6 at its relaxed geometry.

Lattice parameters (Å, degrees): 5.8135 5.8135 6.3640 85.54 85.54 121.00
Element x y z (fractional)
Ag (0.1498, 0.8502, 0.0000)
O (0.3116, 0.3116, 0.3526)
O (0.7402, 0.0387, 0.3314)
Ge (0.0000, 0.0000, 0.5000)
O (0.0387, 0.7402, 0.3314)
O (0.2598, 0.9613, 0.6686)
Y (0.3371, 0.6629, 0.5000)
Ag (0.8502, 0.1498, 0.0000)
O (0.9613, 0.2598, 0.6686)
O (0.6884, 0.6884, 0.6474)
Y (0.6629, 0.3371, 0.5000)

Output
As for the space group: No. 12. Its energy relative to the elements, uncorrected is -1.9916 eV per atom.